[1]
A relaxed CaCoIO2 crystal, computed with PBE+U.

Cell: 4.3167 4.3167 6.7074 Å, 90.00 90.00 90.00°
Last column: nearest neighbours and their distance in Å.
Fractional positions:
I (0.0000, 0.0000, 0.5000)  4 Co 3.05, 2 Ca 3.35
Ca (0.0000, 0.0000, 0.0000)  4 O 2.16
O (0.0000, 0.5000, 0.0000)  2 Ca 2.16
O (0.5000, 0.0000, 0.0000)  2 Ca 2.16
Co (0.5000, 0.5000, 0.5000)  4 I 3.05

Values from the calculation:
The value obtained for the density of states at the Fermi level is 8.125 states/eV per cell. For the final energy, the calculation gives -4.021 eV per atom. The space-group type is P4/mmm, No. 123.

***

[2]
A relaxed CaCoIO2 crystal, computed with PBE+U.

Cell: 4.1451 4.1451 5.0941 Å, 90.00 90.00 90.00°
Last column: nearest neighbours and their distance in Å.
Fractional positions:
Co (0.0000, 0.0000, 0.0000)  4 O 2.07
O (0.0000, 0.5000, 0.0000)  2 Co 2.07
O (0.5000, 0.0000, 0.0000)  2 Co 2.07
I (0.0000, 0.0000, 0.5000)  2 Co 2.55
Ca (0.5000, 0.5000, 0.5000)  4 I 2.93

Values from the calculation:
The value obtained for the density of states at the Fermi level is 3.726 states/eV per cell. For the final energy, the calculation gives -4.435 eV per atom. The space-group type is P4/mmm, No. 123.

***

[3]
A relaxed CaCoIO6 crystal, computed with PBE+U.

Cell: 5.0402 5.0402 5.1398 Å, 90.00 90.00 60.00°
Last column: nearest neighbours and their distance in Å.
Fractional positions:
O (0.3701, 0.0019, 0.7083)  1 I 1.91, 1 Co 1.93
O (0.6279, 0.0018, 0.2916)  1 I 1.91, 1 Co 1.93
O (0.3702, 0.6279, 0.2916)  1 I 1.91, 1 Co 1.93
O (0.0018, 0.6280, 0.7083)  1 I 1.91, 1 Co 1.93
O (0.6279, 0.3702, 0.7084)  1 I 1.91, 1 Co 1.93
O (0.0018, 0.3702, 0.2916)  1 I 1.91, 1 Co 1.93
Co (0.6666, 0.6667, 0.5000)  6 O 1.93
Ca (0.0000, 0.0000, 0.0000)  6 O 2.40
I (0.3333, 0.3333, 0.5000)  6 O 1.91

Values from the calculation:
The value obtained for the density of states at the Fermi level is 0.000 states/eV per cell. For the final energy, the calculation gives -5.484 eV per atom. The space-group type is P312, No. 149.